Li2InPt, relaxed, DFT PBE; VASP energy = -3.727 eV per atom
1.0
3.176 -3.176 0.000
-3.176 0.000 -3.176
3.176 3.176 0.000
Pt Li In
1 2 1
direct
0.250 0.500 0.750 Pt
0.750 0.500 0.250 Li
0.500 0.000 0.500 Li
0.000 0.000 0.000 In